Entry 1:
An optimized crystal structure of BTeAu2S. Source: Alexandria via LeMat-Bulk, functional PBE-GGA.

Geometry as POSCAR:
```
BTeAu2S
1.0
5.026 0.000 0.000
0.000 5.026 0.000
0.000 0.000 3.963
B Te Au S
1 1 2 1
Direct
0.000 0.000 0.000
0.500 0.500 0.000
0.000 0.500 0.500
0.500 0.000 0.500
0.000 0.000 0.500
```

Space-group type   P4/mmm, No. 123

Entry 2:
An optimized crystal structure of BTeAu2S. Source: Alexandria via LeMat-Bulk, functional PBE-GGA.

Geometry as POSCAR:
```
BTeAu2S
1.0
5.195 0.000 0.000
0.000 5.195 0.000
0.000 0.000 5.322
B Te Au S
1 1 2 1
Direct
0.000 0.000 0.000
0.500 0.500 0.500
0.000 0.500 0.500
0.500 0.000 0.500
0.500 0.500 0.000
```

Space-group type   P4/mmm, No. 123

Entry 3:
An optimized crystal structure of BSb2Au2. Source: Alexandria via LeMat-Bulk, functional PBE-GGA.

Geometry as POSCAR:
```
BSb2Au2
1.0
6.152 0.000 0.000
0.000 6.152 0.000
0.000 0.000 5.791
B Sb Au
2 4 4
Direct
0.000 0.000 0.000
0.500 0.500 0.000
0.249 0.251 0.500
0.251 0.751 0.500
0.749 0.249 0.500
0.751 0.749 0.500
0.250 0.250 0.000
0.250 0.750 0.000
0.750 0.250 0.000
0.750 0.750 0.000
```

Space-group type   P4/mbm, No. 127

Entry 4:
An optimized crystal structure of B3SbAu. Source: Alexandria via LeMat-Bulk, functional PBE-GGA.

Geometry as POSCAR:
```
B3SbAu
1.0
4.308 0.000 0.000
0.000 4.308 0.000
0.000 0.000 4.308
B Sb Au
3 1 1
Direct
0.000 0.000 0.500
0.000 0.500 0.000
0.500 0.000 0.000
0.500 0.500 0.500
0.000 0.000 0.000
```

Space-group type   Pm-3m, No. 221

Entry 5:
An optimized crystal structure of BSbAu3. Source: Alexandria via LeMat-Bulk, functional PBE-GGA.

Geometry as POSCAR:
```
BSbAu3
1.0
5.238 0.000 0.000
0.000 5.238 0.000
0.000 0.000 5.238
B Sb Au
1 1 3
Direct
0.000 0.000 0.000
0.500 0.500 0.500
0.000 0.500 0.500
0.500 0.000 0.500
0.500 0.500 0.000
```

Space-group type   Pm-3m, No. 221

Entry 6:
An optimized crystal structure of BSb3Au. Source: Alexandria via LeMat-Bulk, functional PBE-GGA.

Geometry as POSCAR:
```
BSb3Au
1.0
4.796 0.000 0.000
0.000 4.796 0.000
0.000 0.000 4.796
B Sb Au
1 3 1
Direct
0.000 0.000 0.000
0.000 0.000 0.500
0.000 0.500 0.000
0.500 0.000 0.000
0.500 0.500 0.500
```

Space-group type   Pm-3m, No. 221

Number 1: relative energy among the computed polymorphs 0.0 kJ per mole of atoms, ΔE_f (raw) 873 meV per atom. Number 2: relative energy among the computed polymorphs 55.9 kJ per mole of atoms, ΔE_f (raw) 1453 meV per atom. Number 3: relative energy among the computed polymorphs 0.0 kJ per mole of atoms, ΔE_f (raw) 305 meV per atom. Number 4: relative energy among the computed polymorphs 0.0 kJ per mole of atoms, ΔE_f (raw) 1708 meV per atom. Number 5: relative energy among the computed polymorphs 94.7 kJ per mole of atoms, ΔE_f (raw) 1345 meV per atom. Number 6: relative energy among the computed polymorphs 0.0 kJ per mole of atoms, ΔE_f (raw) 734 meV per atom.